Entry 1:
A plane-wave DFT calculation with PBE-GGA was carried out for a geometry-optimized BeCo2Ni2 structure.

Cell: 6.7443 6.7443 2.5122 Å, 90.00 90.00 90.00°
Closest atoms and distances in Å follow each position.
Fractional positions:
Be (0.0000, 0.0000, 0.0000)  2 Be 2.51, 4 Co 2.67, 8 Ni 2.79
Be (0.5000, 0.5000, 0.0000)  2 Be 2.51, 4 Co 2.67, 8 Ni 2.79
Co (0.1233, 0.3767, 0.0000)  6 Ni 2.30-2.39, 3 Co 2.35-2.51
Co (0.3767, 0.8767, 0.0000)  6 Ni 2.30-2.39, 3 Co 2.35-2.51
Co (0.6233, 0.1233, 0.0000)  6 Ni 2.30-2.39, 3 Co 2.35-2.51
Co (0.8767, 0.6233, 0.0000)  6 Ni 2.30-2.39, 3 Co 2.35-2.51
Ni (0.1742, 0.6742, 0.5000)  6 Co 2.30-2.39, 2 Ni 2.51
Ni (0.3258, 0.1742, 0.5000)  6 Co 2.30-2.39, 2 Ni 2.51
Ni (0.6742, 0.8258, 0.5000)  6 Co 2.30-2.39, 2 Ni 2.51
Ni (0.8258, 0.3258, 0.5000)  6 Co 2.30-2.39, 2 Ni 2.51

Properties
The space-group type is No. 127. For the energy above the most stable polymorph in this dataset, the calculation gives 0.008 eV/atom.

=====

Entry 2:
A plane-wave DFT calculation with PBE-GGA was carried out for a geometry-optimized BeCo2Ni structure.

Cell: 4.1073 4.1073 4.1073 Å, 129.19 129.19 74.71°
Closest atoms and distances in Å follow each position.
Fractional positions:
Be (0.0000, 0.0000, 0.0000)  4 Ni 2.40, 8 Co 2.40-2.49
Co (0.2500, 0.7500, 0.5000)  4 Co 2.40, 4 Be 2.40, 4 Ni 2.49
Co (0.5000, 0.5000, 0.0000)  4 Co 2.40, 4 Ni 2.40, 4 Be 2.49
Ni (0.7500, 0.2500, 0.5000)  8 Co 2.40-2.49, 4 Be 2.40

Properties
The space-group type is No. 119. The calculation puts the electronic total energy at -6.0132 eV/atom.

=====

Entry 3:
A plane-wave DFT calculation with PBE-GGA was carried out for a geometry-optimized BeCoNiP structure.

Cell: 3.7975 3.7975 3.7975 Å, 60.00 60.00 60.00°
Closest atoms and distances in Å follow each position.
Fractional positions:
Be (0.0000, 0.0000, 0.0000)  4 Co 2.33, 4 Ni 2.33
Co (0.7500, 0.7500, 0.7500)  4 Be 2.33, 4 P 2.33
Ni (0.2500, 0.2500, 0.2500)  4 Be 2.33, 4 P 2.33
P (0.5000, 0.5000, 0.5000)  4 Co 2.33, 4 Ni 2.33

Properties
The space-group type is No. 216. The calculation puts the electronic total energy at -5.8456 eV/atom.

=====

Entry 4:
A plane-wave DFT calculation with PBE-GGA was carried out for a geometry-optimized PaBeCoNi structure.

Cell: 3.7734 3.7734 4.9153 Å, 108.92 108.92 61.58°
Closest atoms and distances in Å follow each position.
Fractional positions:
Pa (0.0000, 0.0000, 0.0000)  1 Co 2.48, 1 Ni 2.70
Be (0.5061, 0.5061, 0.4839)  3 Ni 2.24-2.31, 3 Co 2.27-2.30
Co (0.8014, 0.8014, 0.3433)  3 Be 2.27-2.30, 1 Pa 2.48, 1 Ni 2.51
Ni (0.2150, 0.2150, 0.6246)  3 Be 2.24-2.31, 1 Co 2.51

Properties
The space-group type is No. 8. The calculation puts the electronic total energy at -6.8793 eV/atom.

=====

Entry 5:
A plane-wave DFT calculation with PBE-GGA was carried out for a geometry-optimized Pa2BeCo2Ni structure.

Cell: 8.1247 8.1247 8.1247 Å, 144.81 51.46 143.69°
Closest atoms and distances in Å follow each position.
Fractional positions:
Pa (0.1700, 0.2472, 0.4172)  4 Co 2.53-2.69
Pa (0.3300, 0.7472, 0.0771)  4 Co 2.53-2.69
Pa (0.6700, 0.2528, 0.9229)  4 Co 2.53-2.69
Pa (0.8300, 0.7528, 0.5828)  4 Co 2.53-2.69
Be (0.2500, 0.7500, 0.5000)  4 Co 2.34, 2 Ni 2.46, 2 Be 2.53
Be (0.7500, 0.2500, 0.5000)  4 Co 2.34, 2 Ni 2.46, 2 Be 2.53
Co (0.1104, 0.7300, 0.8404)  2 Be 2.34, 2 Ni 2.44, 1 Pa 2.53
Co (0.3896, 0.2300, 0.6196)  2 Be 2.34, 2 Ni 2.44, 1 Pa 2.53
Co (0.6104, 0.7700, 0.3804)  2 Be 2.34, 2 Ni 2.44, 1 Pa 2.53
Co (0.8896, 0.2700, 0.1596)  2 Be 2.34, 2 Ni 2.44, 1 Pa 2.53
Ni (0.2500, 0.2500, 0.0000)  4 Co 2.44, 2 Be 2.46, 2 Ni 2.53
Ni (0.7500, 0.7500, 0.0000)  4 Co 2.44, 2 Be 2.46, 2 Ni 2.53

Properties
The space-group type is No. 72. The calculation puts the electronic total energy at -7.4505 eV/atom.

=====

Entry 6:
A plane-wave DFT calculation with PBE-GGA was carried out for a geometry-optimized Pm2Be3CoNi12 structure.

Cell: 7.0209 7.0209 7.0209 Å, 62.56 62.56 62.56°
Closest atoms and distances in Å follow each position.
Fractional positions:
Pm (0.1099, 0.1099, 0.1099)  6 Ni 2.70
Pm (0.8901, 0.8901, 0.8901)  6 Ni 2.70
Be (0.0000, 0.5000, 0.5000)  6 Ni 2.06
Be (0.5000, 0.0000, 0.5000)  6 Ni 2.06
Be (0.5000, 0.5000, 0.0000)  6 Ni 2.06
Co (0.5000, 0.5000, 0.5000)  6 Ni 2.25
Ni (0.1196, 0.6234, 0.6234)  1 Be 2.06, 1 Co 2.25
Ni (0.1547, 0.1547, 0.5930)  2 Be 2.06
Ni (0.1547, 0.5930, 0.1547)  2 Be 2.06
Ni (0.3766, 0.3766, 0.8804)  1 Be 2.06, 1 Co 2.25
Ni (0.3766, 0.8804, 0.3766)  1 Be 2.06, 1 Co 2.25
Ni (0.4070, 0.8453, 0.8453)  2 Be 2.06
Ni (0.5930, 0.1547, 0.1547)  2 Be 2.06
Ni (0.6234, 0.1196, 0.6234)  1 Be 2.06, 1 Co 2.25
Ni (0.6234, 0.6234, 0.1196)  1 Be 2.06, 1 Co 2.25
Ni (0.8453, 0.4070, 0.8453)  2 Be 2.06
Ni (0.8453, 0.8453, 0.4070)  2 Be 2.06
Ni (0.8804, 0.3766, 0.3766)  1 Be 2.06, 1 Co 2.25

Properties
The space-group type is No. 166. The calculation puts the electronic total energy at -5.1132 eV/atom.

=====

no.,D(E_F) (states/eV per cell)
1,10.3
2,5.1
3,3.2
4,2.9
5,11.0
6,14.2